# 1
A plane-wave DFT calculation with PBE was carried out for PrNd2N after structural relaxation.

```
4
Lattice="1.800 1.039 9.908 -1.800 1.039 9.908 0.000 -2.078 9.908" Properties=species:S:1:pos:R:3 pbc="T T T"
Pr 0.000 0.000 0.000
Nd 0.000 0.000 3.571
Nd 0.000 0.000 26.153
N 0.000 0.000 14.862
```

Computed properties:
Space-group type: R-3m
E_form (uncorrected): -573 meV per atom
DFT total energy: -24.9 eV for the cell shown
Size of the total moment: 0.00 μB/cell

***

# 2
A plane-wave DFT calculation with PBE was carried out for PrNd4N4 after structural relaxation.

```
9
Lattice="5.172 0.000 0.000 2.581 5.822 0.000 2.580 0.001 5.822" Properties=species:S:1:pos:R:3 pbc="T T T"
Pr 0.000 0.000 0.000
Nd 2.583 2.471 1.189
Nd 5.168 4.633 2.472
Nd 5.164 1.189 3.350
Nd 7.749 3.351 4.633
N 2.585 1.183 3.517
N 5.166 3.517 4.640
N 5.166 2.305 1.182
N 7.747 4.640 2.305
```

Computed properties:
Space-group type: P-1
E_form (uncorrected): -1201 meV per atom
DFT total energy: -68.0 eV for the cell shown
Size of the total moment: 0.00 μB/cell
Distance to the lowest polymorph of the same formula: 0.0 meV per atom

***

# 3
A plane-wave DFT calculation with PBE was carried out for Pr4NdN4 after structural relaxation.

```
9
Lattice="-4.136 4.136 2.613 4.136 -4.136 2.613 4.136 4.136 -2.613" Properties=species:S:1:pos:R:3 pbc="T T T"
Pr 2.594 0.914 0.000
Pr 3.222 -1.542 2.613
Pr 0.914 5.678 0.000
Pr 1.542 3.222 2.613
Nd 0.000 0.000 2.613
N 4.922 1.690 0.000
N 1.690 3.350 0.000
N 2.446 0.786 2.613
N -0.786 2.446 2.613
```

Computed properties:
Space-group type: I4/m
E_form (uncorrected): -1161 meV per atom
DFT total energy: -67.6 eV for the cell shown
Size of the total moment: 0.00 μB/cell
Distance to the lowest polymorph of the same formula: 0.0 meV per atom

***

# 4
A plane-wave DFT calculation with PBE was carried out for PrNdN after structural relaxation.

```
3
Lattice="0.000 3.147 3.147 3.147 0.000 3.147 3.147 3.147 0.000" Properties=species:S:1:pos:R:3 pbc="T T T"
Pr 0.000 0.000 0.000
Nd 3.147 3.147 3.147
N 1.574 1.574 1.574
```

Computed properties:
Space-group type: F-43m
E_form (uncorrected): -310 meV per atom
DFT total energy: -18.8 eV for the cell shown
Size of the total moment: 0.00 μB/cell
Distance to the lowest polymorph of the same formula: 561.7 meV per atom

***

# 5
A plane-wave DFT calculation with PBE was carried out for PrNd4N4 after structural relaxation.

```
9
Lattice="-3.001 3.001 5.583 3.001 -3.001 5.583 3.001 3.001 -5.583" Properties=species:S:1:pos:R:3 pbc="T T T"
Pr 0.000 0.000 0.000
Nd 3.001 0.000 0.000
Nd 0.000 0.000 3.210
Nd 0.000 3.001 0.000
Nd 0.000 0.000 7.957
N 1.546 -1.546 4.263
N 1.455 1.455 1.320
N -1.546 1.546 4.263
N 1.546 1.546 6.904
```

Computed properties:
Space-group type: I-42m
E_form (uncorrected): -629 meV per atom
DFT total energy: -62.8 eV for the cell shown
Size of the total moment: 2.28 μB/cell
Distance to the lowest polymorph of the same formula: 571.4 meV per atom

***

# 6
A plane-wave DFT calculation with PBE was carried out for PrNd5N6 after structural relaxation.

```
12
Lattice="3.169 -5.489 0.000 3.169 5.489 0.000 -2.112 0.000 5.976" Properties=species:S:1:pos:R:3 pbc="T T T"
Pr 0.000 0.000 0.000
Nd 2.113 3.657 2.988
Nd 3.169 1.829 0.000
Nd 2.113 0.000 2.988
Nd 3.169 -1.829 0.000
Nd 2.113 -3.657 2.988
N 1.061 1.838 1.500
N 0.011 0.000 4.479
N 1.061 -1.838 1.500
N 3.165 1.838 4.476
N 4.215 0.000 1.497
N 3.165 -1.838 4.476
```

Computed properties:
Space-group type: C2/m
E_form (uncorrected): -1348 meV per atom
DFT total energy: -94.7 eV for the cell shown
Size of the total moment: 0.00 μB/cell

***

# 7
A plane-wave DFT calculation with PBE was carried out for Pr3NdN3 after structural relaxation.

```
7
Lattice="5.194 0.000 0.000 0.000 5.194 0.000 0.000 0.000 5.194" Properties=species:S:1:pos:R:3 pbc="T T T"
Pr 0.000 0.000 2.597
Pr 0.000 2.597 0.000
Pr 2.597 0.000 0.000
Nd 2.597 2.597 2.597
N 0.000 2.597 2.597
N 2.597 0.000 2.597
N 2.597 2.597 0.000
```

Computed properties:
Space-group type: Pm-3m
E_form (uncorrected): -1081 meV per atom
DFT total energy: -51.7 eV for the cell shown
Size of the total moment: 0.00 μB/cell

***

# 8
A plane-wave DFT calculation with PBE was carried out for PrNdN after structural relaxation.

```
3
Lattice="-2.432 2.432 3.993 2.432 -2.432 3.993 2.432 2.432 -3.993" Properties=species:S:1:pos:R:3 pbc="T T T"
Pr 0.000 0.000 0.000
Nd 0.000 0.000 3.730
N 0.000 0.000 5.847
```

Computed properties:
Space-group type: I4mm
E_form (uncorrected): 213 meV per atom
DFT total energy: -17.2 eV for the cell shown
Size of the total moment: 0.00 μB/cell
Distance to the lowest polymorph of the same formula: 1085.4 meV per atom

***

# 9
A plane-wave DFT calculation with PBE was carried out for Pr2Nd3N4 after structural relaxation.

```
9
Lattice="6.116 -1.831 0.000 6.116 1.831 0.000 -4.536 0.000 7.896" Properties=species:S:1:pos:R:3 pbc="T T T"
Pr -0.441 0.000 3.037
Pr 8.137 0.000 4.859
Nd 2.752 0.000 1.469
Nd 6.116 0.000 0.000
Nd 4.944 0.000 6.428
N -2.818 0.000 7.154
N 0.540 0.000 5.499
N 7.156 0.000 2.397
N 10.514 0.000 0.742
```

Computed properties:
Space-group type: C2/m
E_form (uncorrected): -1199 meV per atom
DFT total energy: -68.0 eV for the cell shown
Size of the total moment: 0.63 μB/cell

***

# 10
A plane-wave DFT calculation with PBE was carried out for Pr4NdN4 after structural relaxation.

```
9
Lattice="-3.018 3.018 5.608 3.018 -3.018 5.608 3.018 3.018 -5.608" Properties=species:S:1:pos:R:3 pbc="T T T"
Pr 3.018 0.000 0.000
Pr 0.000 0.000 2.386
Pr 0.000 3.018 0.000
Pr 0.000 0.000 8.830
Nd 0.000 0.000 5.608
N 1.434 -1.434 4.276
N 1.584 1.584 1.332
N -1.434 1.434 4.276
N 1.434 1.434 6.941
```

Computed properties:
Space-group type: I-42m
E_form (uncorrected): -630 meV per atom
DFT total energy: -62.9 eV for the cell shown
Size of the total moment: 2.31 μB/cell
Distance to the lowest polymorph of the same formula: 530.8 meV per atom

***

# 11
A plane-wave DFT calculation with PBE was carried out for PrNd2N2 after structural relaxation.

```
10
Lattice="5.836 -2.598 0.000 5.836 2.598 0.000 -2.523 0.000 7.021" Properties=species:S:1:pos:R:3 pbc="T T T"
Pr 1.595 0.000 0.669
Pr 7.554 0.000 6.352
Nd 0.459 0.000 4.015
Nd 5.082 0.000 1.886
Nd 4.067 0.000 5.136
Nd 8.690 0.000 3.007
N -0.595 0.000 1.781
N 2.871 0.000 2.944
N 6.278 0.000 4.077
N 9.744 0.000 5.240
```

Computed properties:
Space-group type: C2/m
E_form (uncorrected): -1045 meV per atom
DFT total energy: -72.4 eV for the cell shown
Size of the total moment: 0.12 μB/cell

***

# 12
A plane-wave DFT calculation with PBE was carried out for PrNdN after structural relaxation.

```
3
Lattice="3.651 0.000 0.000 -1.825 3.162 0.000 0.000 0.000 6.482" Properties=species:S:1:pos:R:3 pbc="T T T"
Pr 0.000 0.000 0.000
Nd 1.825 1.054 2.779
N 0.000 2.108 1.428
```

Computed properties:
Space-group type: P3m1
E_form (uncorrected): -833 meV per atom
DFT total energy: -20.4 eV for the cell shown
Size of the total moment: 0.01 μB/cell
Distance to the lowest polymorph of the same formula: 39.0 meV per atom

***

# 13
A plane-wave DFT calculation with PBE was carried out for Pr3Nd2N3 after structural relaxation.

```
16
Lattice="5.943 -2.572 0.000 5.943 2.572 0.000 -0.047 0.000 11.982" Properties=species:S:1:pos:R:3 pbc="T T T"
Pr 0.000 0.000 0.000
Pr 0.017 0.000 3.088
Pr 2.366 0.000 7.531
Pr 7.182 0.000 9.686
Pr 8.219 0.000 1.537
Pr 10.604 0.000 5.991
Nd 3.281 0.000 11.345
Nd 3.354 0.000 3.703
Nd 7.273 0.000 5.345
Nd 10.529 0.000 9.094
N 1.167 0.000 9.858
N 1.250 0.000 5.200
N 2.034 0.000 1.539
N 8.578 0.000 7.518
N 9.320 0.000 11.188
N 9.369 0.000 3.876
```

Computed properties:
Space-group type: Cm
E_form (uncorrected): -855 meV per atom
DFT total energy: -111.4 eV for the cell shown
Size of the total moment: 0.00 μB/cell

***

# 14
A plane-wave DFT calculation with PBE was carried out for PrNd2N3 after structural relaxation.

```
24
Lattice="7.334 0.000 0.000 0.000 5.182 0.000 0.000 0.000 11.006" Properties=species:S:1:pos:R:3 pbc="T T T"
Pr 0.930 1.295 0.920
Pr 2.737 3.886 6.423
Pr 4.597 1.295 4.583
Pr 6.404 3.886 10.086
Nd 0.926 1.295 4.587
Nd 0.929 1.295 8.250
Nd 2.738 3.886 2.747
Nd 2.741 3.886 10.090
Nd 4.593 1.295 0.917
Nd 4.597 1.295 8.260
Nd 6.405 3.886 2.756
Nd 6.408 3.886 6.420
N 0.935 3.886 4.574
N 0.949 3.886 8.262
N 0.970 3.886 0.921
N 2.697 1.295 6.425
N 2.718 1.295 2.759
N 2.733 1.295 10.077
N 4.602 3.886 0.930
N 4.616 3.886 8.248
N 4.637 3.886 4.582
N 6.364 1.295 10.085
N 6.385 1.295 2.745
N 6.400 1.295 6.433
```

Computed properties:
Space-group type: Pnma
E_form (uncorrected): -1334 meV per atom
DFT total energy: -189.2 eV for the cell shown
Size of the total moment: 0.00 μB/cell

***

# 15
A plane-wave DFT calculation with PBE was carried out for PrNd2N2 after structural relaxation.

```
5
Lattice="-1.824 2.610 5.616 1.824 -2.610 5.616 1.824 2.610 -5.616" Properties=species:S:1:pos:R:3 pbc="T T T"
Pr 0.000 0.000 0.000
Nd 0.000 0.000 3.575
Nd 0.000 0.000 7.657
N 1.824 0.000 1.929
N 0.000 2.610 3.687
```

Computed properties:
Space-group type: Immm
E_form (uncorrected): -1045 meV per atom
DFT total energy: -36.2 eV for the cell shown
Size of the total moment: 0.00 μB/cell

***

# 16
A plane-wave DFT calculation with PBE was carried out for PrNdN after structural relaxation.

```
6
Lattice="1.927 -6.851 0.000 1.927 6.851 0.000 0.000 0.000 6.106" Properties=species:S:1:pos:R:3 pbc="T T T"
Pr 1.927 4.208 3.053
Pr 1.927 -4.208 0.000
Nd 1.927 0.628 2.916
Nd 1.927 -0.628 5.968
N 1.927 2.282 1.387
N 1.927 -2.282 4.439
```

Computed properties:
Space-group type: Cmc2_1
E_form (uncorrected): -699 meV per atom
DFT total energy: -39.9 eV for the cell shown
Size of the total moment: 0.00 μB/cell
Distance to the lowest polymorph of the same formula: 173.2 meV per atom

***

# 17
A plane-wave DFT calculation with PBE was carried out for Pr5Nd2N5 after structural relaxation.

```
12
Lattice="6.169 -1.779 0.000 6.169 1.779 0.000 -2.449 0.000 12.433" Properties=species:S:1:pos:R:3 pbc="T T T"
Pr 0.000 0.000 0.000
Pr 0.465 0.000 6.990
Pr 0.615 0.000 10.888
Pr 9.274 0.000 1.545
Pr 9.425 0.000 5.443
Nd 3.689 0.000 8.490
Nd 6.200 0.000 3.943
N 1.387 0.000 4.763
N 4.386 0.000 0.532
N 4.945 0.000 6.217
N 5.503 0.000 11.901
N 8.503 0.000 7.670
```

Computed properties:
Space-group type: C2/m
E_form (uncorrected): -909 meV per atom
DFT total energy: -86.0 eV for the cell shown
Size of the total moment: 2.02 μB/cell

***

# 18
A plane-wave DFT calculation with PBE was carried out for Pr2Nd5N5 after structural relaxation.

```
12
Lattice="6.112 -1.772 0.000 6.112 1.772 0.000 -2.745 0.000 12.368" Properties=species:S:1:pos:R:3 pbc="T T T"
Pr -0.087 0.000 3.846
Pr 9.564 0.000 8.522
Nd 3.047 0.000 1.524
Nd 3.081 0.000 5.438
Nd 6.112 0.000 0.000
Nd 6.397 0.000 6.930
Nd 6.430 0.000 10.845
N -1.373 0.000 6.184
N -0.987 0.000 11.794
N 2.118 0.000 7.612
N 7.360 0.000 4.756
N 10.464 0.000 0.574
```

Computed properties:
Space-group type: C2/m
E_form (uncorrected): -933 meV per atom
DFT total energy: -86.2 eV for the cell shown
Size of the total moment: 2.01 μB/cell

***

# 19
A plane-wave DFT calculation with PBE was carried out for Pr8NdN6 after structural relaxation.

```
15
Lattice="3.197 1.846 9.418 -3.197 1.846 9.418 0.000 -3.692 9.418" Properties=species:S:1:pos:R:3 pbc="T T T"
Pr -2.132 0.000 11.265
Pr 0.000 0.000 4.709
Pr -1.066 -1.846 16.989
Pr 1.066 -1.846 11.265
Pr -1.066 1.846 16.989
Pr 1.066 1.846 11.265
Pr 0.000 0.000 23.545
Pr 2.132 0.000 16.989
Nd 0.000 0.000 14.127
N -1.060 -1.836 12.537
N -2.120 0.000 15.717
N -1.060 1.836 12.537
N 1.060 -1.836 15.717
N 2.120 0.000 12.537
N 1.060 1.836 15.717
```

Computed properties:
Space-group type: R-3
E_form (uncorrected): -1050 meV per atom
DFT total energy: -108.7 eV for the cell shown
Size of the total moment: 1.88 μB/cell

***

# 20
A plane-wave DFT calculation with PBE was carried out for Pr2NdPuN4 after structural relaxation.

```
8
Lattice="6.252 0.000 0.000 0.000 3.622 0.000 -2.061 0.000 5.911" Properties=species:S:1:pos:R:3 pbc="T T T"
Pr 0.000 0.000 0.000
Pr 3.126 1.811 0.000
Nd -1.031 1.811 2.956
Pu 2.095 0.000 2.956
N 0.113 0.000 4.349
N 1.125 1.811 1.605
N 3.065 1.811 4.306
N 4.077 0.000 1.563
```

Computed properties:
Space-group type: P2/m
E_form (uncorrected): -1291 meV per atom
DFT total energy: -72.3 eV for the cell shown
Size of the total moment: 4.58 μB/cell